1.
## CaFeCl4 (PBE-GGA)

Data for an optimized crystal structure of CaFeCl4.

a = 5.9550 Å, b = 5.9550 Å, c = 5.9550 Å
α = 60.00°, β = 60.00°, γ = 60.00°
With the nearest neighbours (Å) after each atom.
Fractional coordinates of all 6 atoms:
1 Ca 0.0000 0.0000 0.0000  12 Cl 3.49, 4 Fe 3.65
2 Fe 0.2500 0.2500 0.2500  12 Cl 3.49, 4 Ca 3.65
3 Cl 0.1256 0.6248 0.6248  6 Cl 2.97-2.98
4 Cl 0.6248 0.1256 0.6248  6 Cl 2.97-2.98
5 Cl 0.6248 0.6248 0.1256  6 Cl 2.97-2.98
6 Cl 0.6248 0.6248 0.6248  6 Cl 2.97-2.98

Formation energy (no corrections)   0.784 eV/f.u.
V   24.887 Å³/atom



2.
## PmNdEr2Se6 (PBE-GGA)

Data for an optimized crystal structure of PmNdEr2Se6.

a = 7.7385 Å, b = 7.7385 Å, c = 7.7385 Å
α = 56.33°, β = 56.33°, γ = 56.33°
With the nearest neighbours (Å) after each atom.
Fractional coordinates of all 10 atoms:
1 Pm 0.0000 0.0000 0.0000  6 Se 2.92-3.00
2 Nd 0.5011 0.5011 0.5011  6 Se 2.94-3.02
3 Er 0.3008 0.3008 0.3008  6 Se 2.82-2.88
4 Er 0.8002 0.8002 0.8002  6 Se 2.82-2.88
5 Se 0.0831 0.6876 0.4151  2 Er 2.82-2.88, 1 Pm 2.92, 1 Nd 3.02
6 Se 0.1842 0.5834 0.9185  2 Er 2.82-2.88, 1 Nd 2.94, 1 Pm 3.00
7 Se 0.4151 0.0831 0.6876  2 Er 2.82-2.88, 1 Pm 2.92, 1 Nd 3.02
8 Se 0.5834 0.9185 0.1842  2 Er 2.82-2.88, 1 Nd 2.94, 1 Pm 3.00
9 Se 0.6876 0.4151 0.0831  2 Er 2.82-2.88, 1 Pm 2.92, 1 Nd 3.02
10 Se 0.9185 0.1842 0.5834  2 Er 2.82-2.88, 1 Nd 2.94, 1 Pm 3.00

Formation energy (no corrections)   -18.427 eV/f.u.
V   29.990 Å³/atom



3.
## Pm3Pr9Nd2 (PBE-GGA)

Data for an optimized crystal structure of Pm3Pr9Nd2.

a = 9.2897 Å, b = 9.2897 Å, c = 13.9694 Å
α = 90.00°, β = 90.00°, γ = 120.00°
With the nearest neighbours (Å) after each atom.
Fractional coordinates of all 28 atoms:
1 Pm 0.0802 0.2489 0.2500  4 Pr 3.25-3.59, 2 Pm 3.54
2 Pm 0.1687 0.9198 0.2500  4 Pr 3.25-3.59, 2 Pm 3.54
3 Pm 0.2489 0.1687 0.7500  4 Pr 3.25-3.59, 2 Pm 3.54
4 Pm 0.7511 0.8313 0.2500  4 Pr 3.25-3.59, 2 Pm 3.54
5 Pm 0.8313 0.0802 0.7500  4 Pr 3.25-3.59, 2 Pm 3.54
6 Pm 0.9198 0.7511 0.7500  4 Pr 3.25-3.59, 2 Pm 3.54
7 Pr 0.0808 0.4796 0.7500  2 Pm 3.25-3.52, 2 Pr 3.59
8 Pr 0.1288 0.7234 0.5403  1 Nd 3.35, 4 Pr 3.52-3.69, 1 Pm 3.59
9 Pr 0.1288 0.7234 0.9597  1 Nd 3.35, 4 Pr 3.52-3.69, 1 Pm 3.59
10 Pr 0.2766 0.4054 0.5403  1 Nd 3.35, 4 Pr 3.52-3.69, 1 Pm 3.59
11 Pr 0.2766 0.4054 0.9597  1 Nd 3.35, 4 Pr 3.52-3.69, 1 Pm 3.59
12 Pr 0.3988 0.9192 0.7500  2 Pm 3.25-3.52, 2 Pr 3.59
13 Pr 0.4054 0.1288 0.0403  1 Nd 3.35, 4 Pr 3.52-3.69, 1 Pm 3.59
14 Pr 0.4054 0.1288 0.4597  1 Nd 3.35, 4 Pr 3.52-3.69, 1 Pm 3.59
15 Pr 0.4796 0.3988 0.2500  2 Pm 3.25-3.52, 2 Pr 3.59
16 Pr 0.5204 0.6012 0.7500  2 Pm 3.25-3.52, 2 Pr 3.59
17 Pr 0.5946 0.8712 0.5403  1 Nd 3.35, 4 Pr 3.52-3.69, 1 Pm 3.59
18 Pr 0.5946 0.8712 0.9597  1 Nd 3.35, 4 Pr 3.52-3.69, 1 Pm 3.59
19 Pr 0.6012 0.0808 0.2500  2 Pm 3.25-3.52, 2 Pr 3.59
20 Pr 0.7234 0.5946 0.0403  1 Nd 3.35, 4 Pr 3.52-3.69, 1 Pm 3.59
21 Pr 0.7234 0.5946 0.4597  1 Nd 3.35, 4 Pr 3.52-3.69, 1 Pm 3.59
22 Pr 0.8712 0.2766 0.0403  1 Nd 3.35, 4 Pr 3.52-3.69, 1 Pm 3.59
23 Pr 0.8712 0.2766 0.4597  1 Nd 3.35, 4 Pr 3.52-3.69, 1 Pm 3.59
24 Pr 0.9192 0.5204 0.2500  2 Pm 3.25-3.52, 2 Pr 3.59
25 Nd 0.3333 0.6667 0.1403  1 Nd 3.07, 3 Pr 3.35
26 Nd 0.3333 0.6667 0.3597  1 Nd 3.07, 3 Pr 3.35
27 Nd 0.6667 0.3333 0.6403  1 Nd 3.07, 3 Pr 3.35
28 Nd 0.6667 0.3333 0.8597  1 Nd 3.07, 3 Pr 3.35

Energy of formation from the pure elements   0.22 eV/atom
V   37.287 Å³/atom